(1)
# Zr2MnTc3, relaxed, DFT PBE
data_Zr2MnTc3
_cell_length_a 5.1998
_cell_length_b 5.1998
_cell_length_c 13.0161
_cell_angle_alpha 90.00
_cell_angle_beta 90.00
_cell_angle_gamma 120.00
_space_group_name_H-M_alt 'R -3 m'
_space_group_IT_number 166
_space_group_name_Hall '-R 3 2"'
loop_
_atom_site_label
_atom_site_fract_x
_atom_site_fract_y
_atom_site_fract_z
Zr1 0.0000 0.0000 0.1231
Mn1 0.0000 0.0000 0.5000
Tc1 0.0000 0.5000 0.0000
# Calculated total energy (eV for the cell shown): -177.33
# Formation enthalpy at 0 K (eV/atom): -0.29

(2)
# ZrMn4Tc, relaxed, DFT PBE
data_ZrMn4Tc
_cell_length_a 6.806
_cell_length_b 6.806
_cell_length_c 6.806
_cell_angle_alpha 90.00
_cell_angle_beta 90.00
_cell_angle_gamma 90.00
_space_group_name_H-M_alt 'F -4 3 m'
_space_group_IT_number 216
_space_group_name_Hall 'F -4 2 3'
loop_
_atom_site_label
_atom_site_fract_x
_atom_site_fract_y
_atom_site_fract_z
Zr1 0.000 0.000 0.000
Mn1 0.127 0.127 0.627
Tc1 0.250 0.250 0.250
# Calculated total energy (eV for the cell shown): -223.69
# Formation enthalpy at 0 K (eV/atom): -0.06

(3)
# ZrMn5Tc, relaxed, DFT PBE
data_ZrMn5Tc
_cell_length_a 7.952
_cell_length_b 4.748
_cell_length_c 9.891
_cell_angle_alpha 90.00
_cell_angle_beta 90.00
_cell_angle_gamma 90.00
_space_group_name_H-M_alt 'P n m a'
_space_group_IT_number 62
loop_
_space_group_symop_operation_xyz
'x,y,z'
'-x,-y,-z'
'-x+1/2,-y,z+1/2'
'x+1/2,y,-z+1/2'
'x+1/2,-y+1/2,-z+1/2'
'-x+1/2,y+1/2,z+1/2'
'-x,y+1/2,-z'
'x,-y+1/2,z'
loop_
_atom_site_label
_atom_site_fract_x
_atom_site_fract_y
_atom_site_fract_z
Zr1 0.248 0.250 0.061
Mn1 0.054 0.750 0.089
Mn2 0.074 0.009 0.310
Mn3 0.086 0.250 0.525
Mn4 0.191 0.250 0.753
Tc1 0.136 0.750 0.852
# Calculated total energy (eV for the cell shown): -262.17
# Formation enthalpy at 0 K (eV/atom): -0.11

- What is the formula in the third record?
  ZrMn5Tc